A geometry-optimized Ce2GaI structure. Source: Alexandria via LeMat-Bulk, functional PBE.

a = 4.4362 Å, b = 4.4365 Å, c = 7.5587 Å
α = 90.00°, β = 107.07°, γ = 120.00°
Each line ends with the local moment (μB).
Sites, in units of the cell vectors:
Ga 0.0231 0.2528 0.0515  -0.04
Ce 0.5025 0.9924 0.2706  0.69
Ce 0.5438 0.5131 0.8325  0.69
I 0.0232 0.7528 0.5516  -0.01

Results
Space-group type: R-3m
Raw formation energy in eV/atom: -0.60
Energy relative to the lowest polymorph listed for this composition in eV per atom: 0.000

---

A geometry-optimized FeNiMo2 structure. Source: Alexandria via LeMat-Bulk, functional PBE.

a = 2.6288 Å, b = 2.6288 Å, c = 8.1499 Å
α = 90.00°, β = 90.00°, γ = 103.17°
Each line ends with the local moment (μB).
Sites, in units of the cell vectors:
Fe 0.5000 0.5000 0.7327  2.47
Mo 0.5000 0.5000 0.2689  -0.04
Mo 0.0000 0.0000 0.9865  -0.10
Ni 0.0000 0.0000 0.5119  0.36

Results
Space-group type: Cmm2
Energy relative to the lowest polymorph listed for this composition in eV per atom: 0.020

---

A geometry-optimized Ac2PuCuS6 structure. Source: Alexandria via LeMat-Bulk, functional PBE.

a = 7.0562 Å, b = 6.7128 Å, c = 7.2264 Å
α = 117.68°, β = 122.35°, γ = 90.00°
Each line ends with the local moment (μB).
Sites, in units of the cell vectors:
Ac 0.7591 0.7360 0.4719  0.00
Ac 0.2409 0.2640 0.5281  0.00
Cu 0.5000 0.0000 0.0000  -0.11
Pu 0.0000 0.5000 0.0000  4.26
S 0.7973 0.2981 0.1154  -0.07
S 0.2027 0.1827 0.8846  -0.07
S 0.7973 0.8173 0.1154  -0.07
S 0.6467 0.2514 0.5028  -0.11
S 0.2027 0.7019 0.8846  -0.07
S 0.3533 0.7486 0.4972  -0.11

Results
Space-group type: C2/m
Raw formation energy in eV/atom: -1.45

---

A geometry-optimized KCuSn2 structure. Source: Alexandria via LeMat-Bulk, functional PBE.

a = 4.3789 Å, b = 4.3789 Å, c = 7.6905 Å
α = 73.46°, β = 73.46°, γ = 60.00°
Sites, in units of the cell vectors:
Sn 0.2889 0.2889 0.1334
Sn 0.0442 0.0442 0.8673
K 0.4977 0.4977 0.5069
Cu 0.6692 0.6692 0.9925

Results
Energy in eV/atom: -3.44
Space-group type: R3m

---

A geometry-optimized NdTeS4 structure. Source: Alexandria via LeMat-Bulk, functional PBE.

a = 7.0397 Å, b = 6.9439 Å, c = 6.2281 Å
α = 90.00°, β = 97.42°, γ = 90.00°
Sites, in units of the cell vectors:
Nd 0.5000 0.5000 0.0000
Nd 0.0000 0.0000 0.0000
S 0.2449 0.7787 0.7007
S 0.8676 0.6523 0.1406
S 0.3676 0.8477 0.1406
S 0.1324 0.3477 0.8594
S 0.7449 0.7213 0.7007
S 0.7551 0.2213 0.2993
S 0.6324 0.1523 0.8594
S 0.2551 0.2787 0.2993
Te 0.0000 0.5000 0.5000
Te 0.5000 0.0000 0.5000

Results
Space-group type: P2_1/c
Raw formation energy in eV/atom: -0.60

---

A geometry-optimized SrDyTlCl6 structure. Source: Alexandria via LeMat-Bulk, functional PBE.

a = 7.3682 Å, b = 7.3682 Å, c = 13.4839 Å
α = 90.00°, β = 90.00°, γ = 120.00°
Sites, in units of the cell vectors:
Cl 0.3554 0.9740 0.6379
Cl 0.9740 0.6185 0.3621
Cl 0.6185 0.9740 0.8621
Cl 0.3815 0.0260 0.1379
Cl 0.3554 0.3815 0.8621
Cl 0.0260 0.6446 0.8621
Cl 0.9740 0.3554 0.1379
Cl 0.6446 0.6185 0.1379
Cl 0.3815 0.3554 0.3621
Cl 0.0260 0.3815 0.6379
Cl 0.6185 0.6446 0.6379
Cl 0.6446 0.0260 0.3621
Tl 0.0000 0.0000 0.0000
Tl 0.0000 0.0000 0.5000
Sr 0.3333 0.6667 0.2500
Sr 0.6667 0.3333 0.7500
Dy 0.6667 0.3333 0.2500
Dy 0.3333 0.6667 0.7500

Results
Space-group type: P-31c
Raw formation energy in eV/atom: -2.09

---

A geometry-optimized PrSm2Tm7 structure. Source: Alexandria via LeMat-Bulk, functional PBE.

a = 5.2593 Å, b = 9.5242 Å, c = 9.5242 Å
α = 126.37°, β = 90.00°, γ = 90.00°
Sites, in units of the cell vectors:
Tm 0.5000 0.7112 0.9324
Tm 0.5000 0.9324 0.7112
Tm 0.5000 0.2888 0.0676
Tm 0.5000 0.0676 0.2888
Tm 0.0000 0.7995 0.2005
Tm 0.5000 0.5000 0.5000
Tm 0.0000 0.2005 0.7995
Sm 0.5000 0.7014 0.2986
Sm 0.5000 0.2986 0.7014
Pr 0.0000 0.0000 0.0000

Results
Space-group type: Cmmm
Energy relative to the lowest polymorph listed for this composition in eV per atom: 0.655

---

A geometry-optimized TbDy2HoS4 structure. Source: Alexandria via LeMat-Bulk, functional PBE.

a = 3.8744 Å, b = 6.7763 Å, c = 6.7889 Å
α = 70.88°, β = 90.00°, γ = 90.00°
Sites, in units of the cell vectors:
S 0.5000 0.2507 0.7479
S 0.5000 0.7493 0.2521
S 0.0000 0.2493 0.2521
S 0.0000 0.7507 0.7479
Tb 0.5000 0.5000 0.0000
Dy 0.5000 0.0000 0.5000
Dy 0.0000 0.0000 0.0000
Ho 0.0000 0.5000 0.5000

Results
Space-group type: P2/m
Raw formation energy in eV/atom: -1.99

---

no.,size of the total moment (μB/cell)
1,1.51
2,2.63
3,3.50
4,0.00
5,0.00
6,0.00
7,0.00
8,0.00